--- w ---
This record from Alexandria describes crystalline FeCuRe2 at its relaxed geometry. The functional is PBE.

Cell: 3.730 3.730 3.848 Å, 90.00 90.00 90.00°
Positions (direct):
Cu1 0.500 0.000 0.500
Fe1 0.000 0.500 0.500
Re1 0.000 0.000 0.000
Re2 0.500 0.500 0.000

Output
Its space group is P4/mmm. The value obtained for the magnetization is 2.18 μB per formula unit.

***

--- x ---
This record from Alexandria describes crystalline FeCuRe2 at its relaxed geometry. The functional is PBE.

Cell: 2.640 2.640 7.536 Å, 90.00 90.00 90.00°
Positions (direct):
Cu1 0.500 0.500 0.250
Fe1 0.500 0.500 0.750
Re1 0.000 0.000 0.990
Re2 0.000 0.000 0.510

Output
Its space group is P4/mmm. The value obtained for the magnetization is 0.00 μB per formula unit.

***

--- y ---
This record from Alexandria describes crystalline FeCuRe2 at its relaxed geometry. The functional is PBE.

Cell: 8.787 8.787 8.787 Å, 17.60 17.60 17.60°
Positions (direct):
Cu1 0.250 0.250 0.250
Fe1 0.750 0.750 0.750
Re1 0.003 0.003 0.003
Re2 0.497 0.497 0.497

Output
Its space group is R-3m. The value obtained for the magnetization is 1.34 μB per formula unit.

***

Result of the stability comparison: x is the most stable of them.

***

--- w ---
This record from Alexandria describes crystalline FeCuRe2 at its relaxed geometry. The functional is PBE.

Cell: 2.677 4.670 5.337 Å, 54.79 90.00 90.00°
Positions (direct):
Cu1 0.500 0.500 0.500
Fe1 0.000 0.000 0.500
Re1 0.000 0.000 0.000
Re2 0.500 0.500 0.000

Output
Its space group is P2/m. The value obtained for the magnetization is 2.28 μB per formula unit.

***

--- x ---
This record from Alexandria describes crystalline FeCuRe2 at its relaxed geometry. The functional is PBE.

Cell: 4.255 4.255 4.255 Å, 60.00 60.00 60.00°
Positions (direct):
Cu1 0.500 0.500 0.500
Fe1 0.750 0.750 0.750
Re1 0.000 0.000 0.000
Re2 0.250 0.250 0.250

Output
Its space group is F-43m. The value obtained for the magnetization is 1.90 μB per formula unit.

***

Result of the stability comparison: w is the most stable of them.

***

--- w ---
This record from Alexandria describes crystalline FeCu2Re at its relaxed geometry. The functional is PBE.

Cell: 4.139 4.139 4.139 Å, 60.00 60.00 60.00°
Positions (direct):
Cu1 0.000 0.000 0.000
Cu2 0.250 0.250 0.250
Fe1 0.500 0.500 0.500
Re1 0.750 0.750 0.750

Output
Its space group is F-43m. The value obtained for the magnetization is 1.26 μB per formula unit.

***

--- x ---
This record from Alexandria describes crystalline FeCu2Re at its relaxed geometry. The functional is PBE.

Cell: 4.728 4.728 2.511 Å, 90.00 90.00 113.46°
Positions (direct):
Cu1 0.000 0.000 0.000
Cu2 0.500 0.500 0.000
Fe1 0.500 0.000 0.500
Re1 0.000 0.500 0.500

Output
Its space group is Cmmm. The value obtained for the magnetization is 2.89 μB per formula unit.

***

--- y ---
This record from Alexandria describes crystalline FeCu2Re at its relaxed geometry. The functional is PBE.

Cell: 4.186 2.528 4.844 Å, 84.41 90.00 90.00°
Positions (direct):
Cu1 0.000 0.124 0.999
Cu2 0.500 0.159 0.252
Fe1 0.000 0.504 0.498
Re1 0.500 0.713 0.751

Output
Its space group is Pm. The value obtained for the magnetization is 2.09 μB per formula unit.

***

Result of the stability comparison: y is the most stable of them.

***

--- w ---
This record from Alexandria describes crystalline FeCu2Re at its relaxed geometry. The functional is PBE.

Cell: 4.112 4.112 4.112 Å, 60.00 60.00 60.00°
Positions (direct):
Re1 0.500 0.500 0.500
Fe1 0.000 0.000 0.000
Cu1 0.250 0.250 0.250
Cu2 0.750 0.750 0.750

Output
Its space group is Fm-3m. The value obtained for the magnetization is 0.00 μB per formula unit.

***

--- x ---
This record from Alexandria describes crystalline FeCu2Re at its relaxed geometry. The functional is PBE.

Cell: 2.667 4.312 4.469 Å, 90.00 90.00 90.00°
Positions (direct):
Cu1 0.000 0.000 0.000
Cu2 0.500 0.500 0.000
Fe1 0.500 0.000 0.500
Re1 0.000 0.500 0.500

Output
Its space group is Pmmm. The value obtained for the magnetization is 1.99 μB per formula unit.

***

Result of the stability comparison: x is the most stable of them.

***

--- w ---
This record from Alexandria describes crystalline Fe3CuRe at its relaxed geometry. The functional is PBE.

Cell: 4.106 4.106 4.106 Å, 90.00 90.00 90.00°
Positions (direct):
Re1 0.500 0.500 0.500
Fe1 0.000 0.500 0.000
Fe2 0.000 0.000 0.500
Fe3 0.500 0.000 0.000
Cu1 0.000 0.000 0.000

Output
Its space group is Pm-3m. The value obtained for the magnetization is 0.00 μB per formula unit.

***

--- x ---
This record from Alexandria describes crystalline Fe3CuRe at its relaxed geometry. The functional is PBE.

Cell: 4.452 4.452 4.452 Å, 90.00 90.00 90.00°
Positions (direct):
Re1 0.000 0.000 0.000
Fe1 0.000 0.500 0.000
Fe2 0.000 0.000 0.500
Fe3 0.500 0.000 0.000
Cu1 0.500 0.500 0.500

Output
Its space group is Pm-3m. The value obtained for the magnetization is 4.83 μB per formula unit.

***

Result of the stability comparison: x is the most stable of them.

***

--- w ---
This record from Alexandria describes crystalline Fe2CuRe2 at its relaxed geometry. The functional is PBE.

Cell: 7.231 7.231 2.612 Å, 90.00 90.00 90.00°
Positions (direct):
Re1 0.372 0.872 0.000
Re2 0.872 0.628 0.000
Re3 0.628 0.128 0.000
Re4 0.128 0.372 0.000
Fe1 0.165 0.665 0.500
Fe2 0.665 0.835 0.500
Fe3 0.835 0.335 0.500
Fe4 0.335 0.165 0.500
Cu1 0.000 0.000 0.000
Cu2 0.500 0.500 0.000

Output
Its space group is P4/mbm. The value obtained for the magnetization is 0.48 μB per formula unit.

***

--- x ---
This record from Alexandria describes crystalline Fe2CuRe2 at its relaxed geometry. The functional is PBE.

Cell: 7.065 7.065 2.649 Å, 90.00 90.00 90.00°
Positions (direct):
Re1 0.168 0.668 0.500
Re2 0.668 0.832 0.500
Re3 0.832 0.332 0.500
Re4 0.332 0.168 0.500
Fe1 0.376 0.876 0.000
Fe2 0.876 0.624 0.000
Fe3 0.624 0.124 0.000
Fe4 0.124 0.376 0.000
Cu1 0.000 0.000 0.000
Cu2 0.500 0.500 0.000

Output
Its space group is P4/mbm. The value obtained for the magnetization is 0.00 μB per formula unit.

***

Result of the stability comparison: x is the most stable of them.